A relaxed Gd4C2SI crystal, computed with PBE-GGA.

a = 3.7752 Å, b = 3.7752 Å, c = 14.0107 Å
α = 90.00°, β = 90.00°, γ = 120.00°
Last column: nearest neighbours and their distance in Å.
Element x y z (fractional)
Gd1 0.0000 0.0000 0.1336  3 C 2.62, 3 S 2.87
Gd2 0.0000 0.0000 0.8664  3 C 2.62, 3 S 2.87
Gd3 0.6667 0.3333 0.3232  3 C 2.49
Gd4 0.6667 0.3333 0.6768  3 C 2.49
C1 0.3333 0.6667 0.2373  6 Gd 2.49-2.62
C2 0.3333 0.6667 0.7627  6 Gd 2.49-2.62
S1 0.6667 0.3333 0.0000  6 Gd 2.87
I1 0.0000 0.0000 0.5000  6 Gd 3.30

Raw total energy: -6.333 eV per atom
Total magnetization: 0.01 μB/cell
Calculated volume: 21.62 A^3/atom